1.
An optimized crystal structure of Ba3PmDy2Se6. Source: the Alexandria database, functional PBE.

As for the energy relative to the elements, uncorrected: -1.89 eV per atom. The calculation puts the total energy at -5.2748 eV/atom.

It has space group C2/m (No. 12), with a = 7.484 Å, b = 12.948 Å, c = 7.797 Å, α = 90.00°, β = 108.68° and γ = 90.00°. The distinct sites, in fractional coordinates, are Ba at (0.000, 0.000, 0.000), Ba at (0.000, 0.336, 0.000), Pm at (0.000, 0.500, 0.500), Dy at (0.000, 0.167, 0.500), Se at (0.231, 0.000, 0.713) and Se at (0.242, 0.330, 0.715).

---

2.
An optimized crystal structure of Sc2TiTl. Source: the Alexandria database, functional PBE.

The calculation puts the total energy at -5.3855 eV/atom. The formation enthalpy at 0 K comes out at 0.346 eV/atom.

It has space group I-42d (No. 122), with a = 4.202 Å, b = 4.202 Å, c = 20.910 Å, α = 90.00°, β = 90.00° and γ = 90.00°. The distinct sites, in fractional coordinates, are Sc at (0.249, 0.250, 0.125), Ti at (0.000, 0.000, 0.000) and Tl at (0.000, 0.000, 0.500).

---

3.
An optimized crystal structure of BaTe3. Source: the Alexandria database, functional PBE.

As for the energy relative to the elements, uncorrected: -0.86 eV per atom. The calculation puts the total energy at -3.6925 eV/atom.

It has space group Pmm2 (No. 25), with a = 5.548 Å, b = 6.113 Å, c = 4.651 Å, α = 90.00°, β = 90.00° and γ = 90.00°. The distinct sites, in fractional coordinates, are Ba at (0.000, 0.000, 0.000), Te at (0.000, 0.500, 0.412), Te at (0.500, 0.000, 0.519) and Te at (0.500, 0.500, 0.625).

---

4.
An optimized crystal structure of BaMg2B2O6. Source: the Alexandria database, functional PBE.

As for the energy relative to the elements, uncorrected: -2.67 eV per atom. The calculation puts the total energy at -7.0552 eV/atom.

It has space group P-1 (No. 2), with a = 5.037 Å, b = 5.246 Å, c = 6.992 Å, α = 85.94°, β = 73.73° and γ = 62.14°. The distinct sites, in fractional coordinates, are Ba at (0.000, 0.000, 0.000), Mg at (0.423, 0.322, 0.643), B at (0.269, 0.309, 0.272), O at (0.021, 0.538, 0.225), O at (0.339, 0.026, 0.240) and O at (0.479, 0.356, 0.346).

---

5.
An optimized crystal structure of TeHRh. Source: the Alexandria database, functional PBE.

The value obtained for the energy relative to the lowest polymorph listed for this composition is 60.3 meV/atom. The calculation puts the total energy at -4.6417 eV/atom.

It has space group Pmm2 (No. 25), with a = 3.176 Å, b = 3.908 Å, c = 3.780 Å, α = 90.00°, β = 90.00° and γ = 90.00°. The distinct sites, in fractional coordinates, are Te at (0.000, 0.000, 0.000), H at (0.500, 0.500, 0.364) and Rh at (0.000, 0.500, 0.507).

---

6.
An optimized crystal structure of Ge2BiS. Source: the Alexandria database, functional PBE.

The value obtained for the energy relative to the lowest polymorph listed for this composition is 130.9 meV/atom. As for the energy relative to the elements, uncorrected: 0.35 eV per atom. The calculation puts the total energy at -3.9597 eV/atom.

It has space group Fm-3m (No. 225), with a = 7.077 Å, b = 7.077 Å, c = 7.077 Å, α = 90.00°, β = 90.00° and γ = 90.00°. The distinct sites, in fractional coordinates, are Ge at (0.250, 0.250, 0.250), Bi at (0.000, 0.000, 0.000) and S at (0.000, 0.000, 0.500).

---

7.
An optimized crystal structure of SrLiLaEu. Source: the Alexandria database, functional PBE.

The calculation puts the total energy at -4.4954 eV/atom. The formation enthalpy at 0 K comes out at 0.204 eV/atom.

It has space group F-43m (No. 216), with a = 8.522 Å, b = 8.522 Å, c = 8.522 Å, α = 90.00°, β = 90.00° and γ = 90.00°. The distinct sites, in fractional coordinates, are Sr at (0.000, 0.000, 0.000), Li at (0.250, 0.250, 0.750), La at (0.000, 0.000, 0.500) and Eu at (0.250, 0.250, 0.250).

---

8.
An optimized crystal structure of NdGaSiRh3. Source: the Alexandria database, functional PBE.

As for the energy relative to the elements, uncorrected: -0.62 eV per atom. The calculation puts the total energy at -6.4964 eV/atom.

It has space group Cmcm (No. 63), with a = 5.771 Å, b = 14.369 Å, c = 5.820 Å, α = 90.00°, β = 90.00° and γ = 90.00°. The distinct sites, in fractional coordinates, are Nd at (0.000, 0.217, 0.250), Ga at (0.000, 0.099, 0.750), Si at (0.000, 0.428, 0.750), Rh at (0.000, 0.268, 0.750) and Rh at (0.245, 0.000, 0.000).

---

9.
An optimized crystal structure of Pr3Hg5Se12. Source: the Alexandria database, functional PBE.

As for the energy relative to the elements, uncorrected: -0.61 eV per atom. The calculation puts the total energy at -3.4961 eV/atom.

It has space group Ia-3d (No. 230), with a = 16.744 Å, b = 16.744 Å, c = 16.744 Å, α = 90.00°, β = 90.00° and γ = 90.00°. The distinct sites, in fractional coordinates, are Pr at (0.000, 0.250, 0.125), Hg at (0.000, 0.000, 0.000), Hg at (0.000, 0.250, 0.375) and Se at (0.017, 0.068, 0.654).

---

10.
An optimized crystal structure of Sc12GaCo5. Source: the Alexandria database, functional PBE.

The calculation puts the total energy at -6.6932 eV/atom. The formation enthalpy at 0 K comes out at -0.330 eV/atom.

It has space group Immm (No. 71), with a = 8.637 Å, b = 8.644 Å, c = 9.161 Å, α = 90.00°, β = 90.00° and γ = 90.00°. The distinct sites, in fractional coordinates, are Sc at (0.000, 0.192, 0.231), Sc at (0.196, 0.500, 0.176), Sc at (0.224, 0.319, 0.500), Ga at (0.000, 0.000, 0.500), Co at (0.000, 0.000, 0.000), Co at (0.000, 0.347, 0.000) and Co at (0.000, 0.500, 0.379).

---

11.
An optimized crystal structure of Sr2Ga5Ag12. Source: the Alexandria database, functional PBE.

The calculation puts the total energy at -2.9316 eV/atom. The formation enthalpy at 0 K comes out at -0.157 eV/atom.

It has space group R-3m (No. 166, hexagonal axes), with a = 9.6665 Å, b = 9.6665 Å, c = 14.1258 Å, α = 90.00°, β = 90.00° and γ = 120.00°. The distinct sites, in fractional coordinates, are Sr at (0.0000, 0.0000, 0.1580), Ga at (0.0000, 0.0000, 0.4096), Ga at (0.0000, 0.5000, 0.0000), Ag at (0.0000, 0.3000, 0.5000) and Ag at (0.0105, 0.5053, 0.3477).

---

12.
An optimized crystal structure of CdH3Se. Source: the Alexandria database, functional PBE.

The value obtained for the energy relative to the lowest polymorph listed for this composition is 255.0 meV/atom. The calculation puts the total energy at -2.0366 eV/atom.

It has space group Pm-3m (No. 221), with a = 3.899 Å, b = 3.899 Å, c = 3.899 Å, α = 90.00°, β = 90.00° and γ = 90.00°. The distinct sites, in fractional coordinates, are Cd at (0.000, 0.000, 0.000), H at (0.000, 0.000, 0.500) and Se at (0.500, 0.500, 0.500).

---

13.
An optimized crystal structure of V3GaRu. Source: the Alexandria database, functional PBE.

The value obtained for the energy relative to the lowest polymorph listed for this composition is 1107.7 meV/atom. The calculation puts the total energy at -6.5955 eV/atom. The formation enthalpy at 0 K comes out at 1.336 eV/atom.

It has space group Pm-3m (No. 221), with a = 4.408 Å, b = 4.408 Å, c = 4.408 Å, α = 90.00°, β = 90.00° and γ = 90.00°. The distinct sites, in fractional coordinates, are V at (0.000, 0.000, 0.500), Ga at (0.000, 0.000, 0.000) and Ru at (0.500, 0.500, 0.500).

---

14.
An optimized crystal structure of Na2SnBiO. Source: the Alexandria database, functional PBE.

The value obtained for the energy relative to the lowest polymorph listed for this composition is 624.3 meV/atom. As for the energy relative to the elements, uncorrected: -0.07 eV per atom. The calculation puts the total energy at -3.1688 eV/atom.

It has space group P4/mmm (No. 123), with a = 6.251 Å, b = 6.251 Å, c = 4.062 Å, α = 90.00°, β = 90.00° and γ = 90.00°. The distinct sites, in fractional coordinates, are Na at (0.000, 0.500, 0.000), Sn at (0.000, 0.000, 0.000), Bi at (0.500, 0.500, 0.500) and O at (0.000, 0.000, 0.500).

---

15.
An optimized crystal structure of Zr2CdP. Source: the Alexandria database, functional PBE.

The value obtained for the energy relative to the lowest polymorph listed for this composition is 386.2 meV/atom. The calculation puts the total energy at -6.2015 eV/atom. The formation enthalpy at 0 K comes out at -0.346 eV/atom.

It has space group Cmmm (No. 65), with a = 6.109 Å, b = 7.549 Å, c = 3.384 Å, α = 90.00°, β = 90.00° and γ = 90.00°. The distinct sites, in fractional coordinates, are Zr at (0.250, 0.250, 0.000), Cd at (0.000, 0.000, 0.500) and P at (0.000, 0.500, 0.500).

---

16.
An optimized crystal structure of SrZr2BeAu. Source: the Alexandria database, functional PBE.

The calculation puts the total energy at -4.7450 eV/atom. The formation enthalpy at 0 K comes out at 0.411 eV/atom.

It has space group P4/mmm (No. 123), with a = 4.737 Å, b = 4.737 Å, c = 5.571 Å, α = 90.00°, β = 90.00° and γ = 90.00°. The distinct sites, in fractional coordinates, are Sr at (0.000, 0.000, 0.000), Zr at (0.000, 0.500, 0.500), Be at (0.000, 0.000, 0.500) and Au at (0.500, 0.500, 0.000).

---

17.
An optimized crystal structure of KPmI3. Source: the Alexandria database, functional PBE.

The value obtained for the energy relative to the lowest polymorph listed for this composition is 127.3 meV/atom. As for the energy relative to the elements, uncorrected: -1.19 eV per atom. The calculation puts the total energy at -3.2922 eV/atom.

It has space group Pm-3m (No. 221), with a = 6.190 Å, b = 6.190 Å, c = 6.190 Å, α = 90.00°, β = 90.00° and γ = 90.00°. The distinct sites, in fractional coordinates, are K at (0.000, 0.000, 0.000), Pm at (0.500, 0.500, 0.500) and I at (0.000, 0.500, 0.500).

---

18.
An optimized crystal structure of LiPm6Pb2. Source: the Alexandria database, functional PBE.

The calculation puts the total energy at -4.4202 eV/atom. The formation enthalpy at 0 K comes out at -0.216 eV/atom.

It has space group P-62m (No. 189), with a = 9.1785 Å, b = 9.1785 Å, c = 3.7958 Å, α = 90.00°, β = 90.00° and γ = 120.00°. The distinct sites, in fractional coordinates, are Li at (0.0000, 0.0000, 0.0000), Pm at (0.0000, 0.3962, 0.0000), Pm at (0.0000, 0.7276, 0.5000) and Pb at (0.3333, 0.6667, 0.5000).

---

19.
An optimized crystal structure of MnHPt2Rh. Source: the Alexandria database, functional PBE.

The value obtained for the energy relative to the lowest polymorph listed for this composition is 1069.5 meV/atom. The calculation puts the total energy at -5.4835 eV/atom.

It has space group P4/mmm (No. 123), with a = 4.964 Å, b = 4.964 Å, c = 2.939 Å, α = 90.00°, β = 90.00° and γ = 90.00°. The distinct sites, in fractional coordinates, are Mn at (0.000, 0.000, 0.000), H at (0.500, 0.500, 0.000), Pt at (0.000, 0.500, 0.500) and Rh at (0.500, 0.500, 0.500).

---

20.
An optimized crystal structure of Zn2AsC. Source: the Alexandria database, functional PBE.

The value obtained for the energy relative to the lowest polymorph listed for this composition is 0.0 meV/atom. The calculation puts the total energy at -3.3073 eV/atom. The formation enthalpy at 0 K comes out at 0.798 eV/atom.

It has space group I-42d (No. 122), with a = 4.510 Å, b = 4.510 Å, c = 12.657 Å, α = 90.00°, β = 90.00° and γ = 90.00°. The distinct sites, in fractional coordinates, are Zn at (0.150, 0.250, 0.125), As at (0.000, 0.000, 0.500) and C at (0.000, 0.000, 0.000).